A relaxed structure of KMoPbF6, computed with PBE+U. Values from VASP.

Geometry as Quantum ESPRESSO input:
```
&SYSTEM
  ibrav = 0, nat = 18, ntyp = 4
/
ATOMIC_SPECIES
F 19.00 F.upf
K 39.10 K.upf
Pb 207.20 Pb.upf
Mo 95.94 Mo.upf
ATOMIC_POSITIONS crystal
F 0.658 0.044 0.360
K 0.000 0.000 0.500
F 0.386 0.342 0.360
F 0.342 0.956 0.640
F 0.956 0.614 0.360
F 0.956 0.342 0.140
F 0.614 0.956 0.860
Pb 0.333 0.667 0.250
F 0.044 0.386 0.640
Mo 0.667 0.333 0.250
Mo 0.333 0.667 0.750
F 0.614 0.658 0.640
F 0.342 0.386 0.860
F 0.386 0.044 0.140
F 0.658 0.614 0.140
F 0.044 0.658 0.860
Pb 0.667 0.333 0.750
K 0.000 0.000 0.000
CELL_PARAMETERS angstrom
-2.921 -3.747 -4.123
1.499 -2.172 5.711
-8.981 3.107 3.539
```

## Properties
symmetry = P-31c, No. 163
total magnetization = 6.000 μB per cell
uncorrected energy = -92.87 eV/cell